Computed, not measured: crystalline BeTlInF4 at its relaxed geometry at the GGA-PBE level of DFT.

* E: -4.754 eV/atom
* space group: P2_1/m, No. 11
* E_form (uncorrected): -2.423 eV per atom

Lattice parameters (Å, degrees): 5.9273 5.7764 8.6059 90.00 121.40 90.00
Closest atoms and distances in Å follow each position.
Sites, in units of the cell vectors:
Be: 0.2755 0.7500 0.2797  4 F 1.56-1.58
F: 0.4728 0.7500 0.2105  1 Be 1.56
In: 0.1128 0.2500 0.4379  3 F 2.39-2.51
F: 0.0930 0.5286 0.2068  1 Be 1.58
Tl: 0.3608 0.2500 0.0879  6 F 2.80-3.03
F: 0.5580 0.2500 0.5065  1 Be 1.57
F: 0.5272 0.2500 0.7895  1 Be 1.56
F: 0.9070 0.0286 0.7932  1 Be 1.58
F: 0.4420 0.7500 0.4935  1 Be 1.57
F: 0.9070 0.4714 0.7932  1 Be 1.58
F: 0.0930 0.9714 0.2068  1 Be 1.58
Be: 0.7245 0.2500 0.7203  4 F 1.56-1.58
Tl: 0.6392 0.7500 0.9121  6 F 2.80-3.03
In: 0.8872 0.7500 0.5621  3 F 2.39-2.51

Computed, not measured: crystalline La4Hg5Pt2 at its relaxed geometry at the GGA-PBE level of DFT.

* E: -3.739 eV/atom
* space group: P2/m, No. 10
* ΔE_f: -0.71 eV/atom

Lattice parameters (Å, degrees): 3.8443 7.9707 9.8466 94.48 90.00 90.00
Closest atoms and distances in Å follow each position.
Sites, in units of the cell vectors:
Hg: 0.0000 0.5000 0.0000  4 Hg 3.08-3.18, 4 La 3.41
Hg: 0.0000 0.1696 0.1425  1 Pt 3.04, 2 Hg 3.08-3.35, 2 La 3.40
Hg: 0.0000 0.4572 0.6760  1 Pt 3.03, 2 Hg 3.18-3.35
Pt: 0.0000 0.9237 0.3631  1 Pt 2.87, 6 La 2.95-3.15, 2 Hg 3.03-3.04
La: 0.5000 0.2297 0.4374  4 Pt 3.07-3.15, 2 Hg 3.41
La: 0.5000 0.7703 0.5626  4 Pt 3.07-3.15, 2 Hg 3.41
Pt: 0.0000 0.0763 0.6369  1 Pt 2.87, 6 La 2.95-3.15, 2 Hg 3.03-3.04
Hg: 0.0000 0.5428 0.3240  1 Pt 3.03, 2 Hg 3.18-3.35
La: 0.5000 0.1817 0.8540  2 Pt 2.95
Hg: 0.0000 0.8304 0.8575  1 Pt 3.04, 2 Hg 3.08-3.35, 2 La 3.40
La: 0.5000 0.8183 0.1460  2 Pt 2.95

Computed, not measured: crystalline Tb2ZnSn at its relaxed geometry at the GGA-PBE level of DFT.

* E: -3.651 eV/atom
* space group: R-3m, No. 166
* ΔE_f: -0.02 eV/atom

Lattice parameters (Å, degrees): 3.4851 3.4851 11.0243 80.91 80.91 60.00
Closest atoms and distances in Å follow each position.
Sites, in units of the cell vectors:
Sn: 0.0000 0.0000 0.0000  2 Tb 3.15, 6 Sn 3.49
Zn: 0.5000 0.5000 0.5000  6 Tb 3.03
Tb: 0.9030 0.9030 0.2909  3 Zn 3.03, 1 Sn 3.15
Tb: 0.0970 0.0970 0.7091  3 Zn 3.03, 1 Sn 3.15

Computed, not measured: crystalline YSiTc2 at its relaxed geometry at the GGA-PBE level of DFT.

* E: -8.072 eV/atom
* space group: R-3m, No. 166
* E_form (uncorrected): 0.082 eV per atom

Lattice parameters (Å, degrees): 7.8408 7.8408 7.8408 24.29 24.29 24.29
Closest atoms and distances in Å follow each position.
Sites, in units of the cell vectors:
Y: 0.2500 0.2500 0.2500  6 Tc 3.00, 6 Y 3.30
Si: 0.7500 0.7500 0.7500  6 Tc 2.42
Tc: 0.0181 0.0181 0.0181  3 Si 2.42
Tc: 0.4819 0.4819 0.4819  3 Si 2.42

Computed, not measured: crystalline MgTl2In at its relaxed geometry at the GGA-PBE level of DFT.

* E: -2.255 eV/atom
* space group: Cmmm, No. 65
* ΔE_f: 0.01 eV/atom

Lattice parameters (Å, degrees): 3.3759 3.3759 9.5366 90.00 90.00 90.67
Closest atoms and distances in Å follow each position.
Sites, in units of the cell vectors:
In: 0.5000 0.5000 0.2500  4 In 3.38, 8 Tl 3.49-3.51
Tl: 0.0000 0.0000 0.5188  4 Mg 3.24-3.26, 4 Tl 3.38, 4 In 3.49-3.51
Mg: 0.5000 0.5000 0.7500  8 Tl 3.24-3.26, 4 Mg 3.38
Tl: 0.0000 0.0000 0.9812  4 Mg 3.24-3.26, 4 Tl 3.38, 4 In 3.49-3.51

Computed, not measured: crystalline HoCu2F8 at its relaxed geometry at the GGA-PBE level of DFT.

* E: -4.770 eV/atom
* space group: P-3, No. 147
* E_form (uncorrected): -2.249 eV per atom

Lattice parameters (Å, degrees): 3.9021 6.6451 6.6438 120.03 90.00 90.00
Closest atoms and distances in Å follow each position.
Sites, in units of the cell vectors:
F: 0.2648 0.1660 0.3335  1 Cu 1.92
Cu: 0.2631 0.3333 0.6668  5 F 1.92-1.95
F: 0.7352 0.8325 0.1660  1 Cu 1.92
F: 0.7352 0.8340 0.6665  1 Cu 1.92
F: 0.2360 0.6667 0.3332  2 Cu 1.95
F: 0.2648 0.1675 0.8340  1 Cu 1.92
Cu: 0.7369 0.6667 0.3332  5 F 1.92-1.95
F: 0.7640 0.3333 0.6668  2 Cu 1.95
Ho: 0.0000 0.0000 0.0000  6 F 2.18
F: 0.2649 0.6666 0.8324  1 Cu 1.92
F: 0.7351 0.3334 0.1676  1 Cu 1.92

Q: Which formula does entry 2 have?
A: La4Hg5Pt2

Q: Among the records above, which one has the highest E?
A: MgTl2In

Q: Look up the E of the second one.
A: -3.739 eV/atom